# PBEsol In3NO3, optimized geometry
data_In3NO3
_symmetry_space_group_name_H-M 'R -3 m'
_symmetry_Int_Tables_number 166
_symmetry_space_group_name_Hall '-R 3 2"'
_cell_length_a 6.4389
_cell_length_b 6.4389
_cell_length_c 16.0474
_cell_angle_alpha 90.00
_cell_angle_beta 90.00
_cell_angle_gamma 120.00
loop_
_atom_site_label
_atom_site_type_symbol
_atom_site_fract_x
_atom_site_fract_y
_atom_site_fract_z
In1 In 0.0000 0.0000 0.0000
In2 In 0.0000 0.0000 0.3637
In3 In 0.0000 0.5000 0.5000
N1 N 0.0000 0.0000 0.2329
O1 O 0.0173 0.5087 0.7482
# * E_tot: -5.873 eV per atom

***

# PBEsol In3NO3, optimized geometry
data_In3NO3
_symmetry_space_group_name_H-M 'I m a 2'
_symmetry_Int_Tables_number 46
_symmetry_space_group_name_Hall 'I 2 -2a'
_cell_length_a 6.481
_cell_length_b 9.136
_cell_length_c 6.506
_cell_angle_alpha 90.00
_cell_angle_beta 90.00
_cell_angle_gamma 90.00
loop_
_atom_site_label
_atom_site_type_symbol
_atom_site_fract_x
_atom_site_fract_y
_atom_site_fract_z
In1 In 0.000 0.000 0.000
In2 In 0.250 0.116 0.477
In3 In 0.250 0.747 0.743
N1 N 0.250 0.514 0.715
O1 O 0.013 0.746 0.489
O2 O 0.250 0.512 0.255
# * E_tot: -5.852 eV per atom

***

# PBEsol InPNO2, optimized geometry
data_InPNO2
_symmetry_space_group_name_H-M 'P 4/m m m'
_symmetry_Int_Tables_number 123
_symmetry_space_group_name_Hall '-P 4 2'
_cell_length_a 3.891
_cell_length_b 3.891
_cell_length_c 5.650
_cell_angle_alpha 90.00
_cell_angle_beta 90.00
_cell_angle_gamma 90.00
loop_
_atom_site_label
_atom_site_type_symbol
_atom_site_fract_x
_atom_site_fract_y
_atom_site_fract_z
In1 In 0.000 0.000 0.000
P1 P 0.000 0.000 0.500
N1 N 0.500 0.500 0.500
O1 O 0.000 0.500 0.000
# * E_tot: -4.320 eV per atom

***

# PBEsol InPN2O, optimized geometry
data_InPN2O
_symmetry_space_group_name_H-M 'P 4/m m m'
_symmetry_Int_Tables_number 123
_symmetry_space_group_name_Hall '-P 4 2'
_cell_length_a 4.213
_cell_length_b 4.213
_cell_length_c 4.019
_cell_angle_alpha 90.00
_cell_angle_beta 90.00
_cell_angle_gamma 90.00
loop_
_atom_site_label
_atom_site_type_symbol
_atom_site_fract_x
_atom_site_fract_y
_atom_site_fract_z
In1 In 0.000 0.000 0.000
P1 P 0.500 0.500 0.500
N1 N 0.000 0.500 0.000
O1 O 0.000 0.000 0.500
# * E_tot: -4.605 eV per atom

***

# PBEsol InPNO2, optimized geometry
data_InPNO2
_symmetry_space_group_name_H-M 'P 4/m m m'
_symmetry_Int_Tables_number 123
_symmetry_space_group_name_Hall '-P 4 2'
_cell_length_a 4.017
_cell_length_b 4.017
_cell_length_c 4.188
_cell_angle_alpha 90.00
_cell_angle_beta 90.00
_cell_angle_gamma 90.00
loop_
_atom_site_label
_atom_site_type_symbol
_atom_site_fract_x
_atom_site_fract_y
_atom_site_fract_z
In1 In 0.000 0.000 0.000
P1 P 0.500 0.500 0.500
N1 N 0.000 0.000 0.500
O1 O 0.000 0.500 0.000
# * E_tot: -4.703 eV per atom

***

# PBEsol InP2NO, optimized geometry
data_InP2NO
_symmetry_space_group_name_H-M 'P 4/m m m'
_symmetry_Int_Tables_number 123
_symmetry_space_group_name_Hall '-P 4 2'
_cell_length_a 5.091
_cell_length_b 5.091
_cell_length_c 3.943
_cell_angle_alpha 90.00
_cell_angle_beta 90.00
_cell_angle_gamma 90.00
loop_
_atom_site_label
_atom_site_type_symbol
_atom_site_fract_x
_atom_site_fract_y
_atom_site_fract_z
In1 In 0.000 0.000 0.000
P1 P 0.000 0.500 0.000
N1 N 0.500 0.500 0.500
O1 O 0.000 0.000 0.500
# * E_tot: -3.875 eV per atom

***

# PBEsol InPdN2O, optimized geometry
data_InPdN2O
_symmetry_space_group_name_H-M 'P 4/m m m'
_symmetry_Int_Tables_number 123
_symmetry_space_group_name_Hall '-P 4 2'
_cell_length_a 3.871
_cell_length_b 3.871
_cell_length_c 4.052
_cell_angle_alpha 90.00
_cell_angle_beta 90.00
_cell_angle_gamma 90.00
loop_
_atom_site_label
_atom_site_type_symbol
_atom_site_fract_x
_atom_site_fract_y
_atom_site_fract_z
In1 In 0.000 0.000 0.000
Pd1 Pd 0.500 0.500 0.500
N1 N 0.000 0.500 0.500
O1 O 0.500 0.500 0.000
# * E_tot: -5.362 eV per atom

***

# PBEsol RbInNO2, optimized geometry
data_RbInNO2
_symmetry_space_group_name_H-M 'P 4/m m m'
_symmetry_Int_Tables_number 123
_symmetry_space_group_name_Hall '-P 4 2'
_cell_length_a 4.266
_cell_length_b 4.266
_cell_length_c 4.448
_cell_angle_alpha 90.00
_cell_angle_beta 90.00
_cell_angle_gamma 90.00
loop_
_atom_site_label
_atom_site_type_symbol
_atom_site_fract_x
_atom_site_fract_y
_atom_site_fract_z
Rb1 Rb 0.000 0.000 0.000
In1 In 0.500 0.500 0.500
N1 N 0.500 0.500 0.000
O1 O 0.000 0.500 0.500
# * E_tot: -4.718 eV per atom

***

# PBEsol RbInN2O, optimized geometry
data_RbInN2O
_symmetry_space_group_name_H-M 'P 4/m m m'
_symmetry_Int_Tables_number 123
_symmetry_space_group_name_Hall '-P 4 2'
_cell_length_a 4.449
_cell_length_b 4.449
_cell_length_c 4.263
_cell_angle_alpha 90.00
_cell_angle_beta 90.00
_cell_angle_gamma 90.00
loop_
_atom_site_label
_atom_site_type_symbol
_atom_site_fract_x
_atom_site_fract_y
_atom_site_fract_z
Rb1 Rb 0.000 0.000 0.000
In1 In 0.500 0.500 0.500
N1 N 0.000 0.500 0.500
O1 O 0.500 0.500 0.000
# * E_tot: -4.600 eV per atom

***

# PBEsol ScInN2O, optimized geometry
data_ScInN2O
_symmetry_space_group_name_H-M 'P 4/m m m'
_symmetry_Int_Tables_number 123
_symmetry_space_group_name_Hall '-P 4 2'
_cell_length_a 4.177
_cell_length_b 4.177
_cell_length_c 3.950
_cell_angle_alpha 90.00
_cell_angle_beta 90.00
_cell_angle_gamma 90.00
loop_
_atom_site_label
_atom_site_type_symbol
_atom_site_fract_x
_atom_site_fract_y
_atom_site_fract_z
Sc1 Sc 0.000 0.000 0.000
In1 In 0.500 0.500 0.500
N1 N 0.000 0.500 0.000
O1 O 0.000 0.000 0.500
# * E_tot: -6.416 eV per atom

***

# PBEsol ScInNO2, optimized geometry
data_ScInNO2
_symmetry_space_group_name_H-M 'P 4/m m m'
_symmetry_Int_Tables_number 123
_symmetry_space_group_name_Hall '-P 4 2'
_cell_length_a 4.014
_cell_length_b 4.014
_cell_length_c 4.083
_cell_angle_alpha 90.00
_cell_angle_beta 90.00
_cell_angle_gamma 90.00
loop_
_atom_site_label
_atom_site_type_symbol
_atom_site_fract_x
_atom_site_fract_y
_atom_site_fract_z
Sc1 Sc 0.000 0.000 0.000
In1 In 0.500 0.500 0.500
N1 N 0.500 0.500 0.000
O1 O 0.000 0.500 0.500
# * E_tot: -6.338 eV per atom

***

# PBEsol InTcN2O, optimized geometry
data_InTcN2O
_symmetry_space_group_name_H-M 'P 4/m m m'
_symmetry_Int_Tables_number 123
_symmetry_space_group_name_Hall '-P 4 2'
_cell_length_a 4.135
_cell_length_b 4.135
_cell_length_c 3.994
_cell_angle_alpha 90.00
_cell_angle_beta 90.00
_cell_angle_gamma 90.00
loop_
_atom_site_label
_atom_site_type_symbol
_atom_site_fract_x
_atom_site_fract_y
_atom_site_fract_z
In1 In 0.000 0.000 0.000
Tc1 Tc 0.500 0.500 0.500
N1 N 0.000 0.500 0.000
O1 O 0.000 0.000 0.500
# * E_tot: -5.731 eV per atom

***

# PBEsol InPN2, optimized geometry
data_InPN2
_symmetry_space_group_name_H-M 'R -3 m'
_symmetry_Int_Tables_number 166
_symmetry_space_group_name_Hall '-R 3 2"'
_cell_length_a 2.7753
_cell_length_b 2.7753
_cell_length_c 19.6032
_cell_angle_alpha 90.00
_cell_angle_beta 90.00
_cell_angle_gamma 120.00
loop_
_atom_site_label
_atom_site_type_symbol
_atom_site_fract_x
_atom_site_fract_y
_atom_site_fract_z
In1 In 0.0000 0.0000 0.0000
P1 P 0.0000 0.0000 0.5000
N1 N 0.0000 0.0000 0.1195
# * E_tot: -6.590 eV per atom

***

# PBEsol InPN2, optimized geometry
data_InPN2
_symmetry_space_group_name_H-M 'I -4 2 d'
_symmetry_Int_Tables_number 122
_symmetry_space_group_name_Hall 'I -4 2bw'
_cell_length_a 5.252
_cell_length_b 5.252
_cell_length_c 7.388
_cell_angle_alpha 90.00
_cell_angle_beta 90.00
_cell_angle_gamma 90.00
loop_
_atom_site_label
_atom_site_type_symbol
_atom_site_fract_x
_atom_site_fract_y
_atom_site_fract_z
In1 In 0.000 0.000 0.000
P1 P 0.000 0.000 0.500
N1 N 0.052 0.750 0.625
# * E_tot: -6.607 eV per atom

***

# PBEsol InPdSN2, optimized geometry
data_InPdSN2
_symmetry_space_group_name_H-M 'P 4/m m m'
_symmetry_Int_Tables_number 123
_symmetry_space_group_name_Hall '-P 4 2'
_cell_length_a 4.058
_cell_length_b 4.058
_cell_length_c 5.304
_cell_angle_alpha 90.00
_cell_angle_beta 90.00
_cell_angle_gamma 90.00
loop_
_atom_site_label
_atom_site_type_symbol
_atom_site_fract_x
_atom_site_fract_y
_atom_site_fract_z
In1 In 0.000 0.000 0.000
Pd1 Pd 0.500 0.500 0.500
S1 S 0.000 0.000 0.500
N1 N 0.000 0.500 0.000
# * E_tot: -4.448 eV per atom

***

# PBEsol InPtN3, optimized geometry
data_InPtN3
_symmetry_space_group_name_H-M 'P m -3 m'
_symmetry_Int_Tables_number 221
_symmetry_space_group_name_Hall '-P 4 2 3'
_cell_length_a 4.075
_cell_length_b 4.075
_cell_length_c 4.075
_cell_angle_alpha 90.00
_cell_angle_beta 90.00
_cell_angle_gamma 90.00
loop_
_atom_site_label
_atom_site_type_symbol
_atom_site_fract_x
_atom_site_fract_y
_atom_site_fract_z
In1 In 0.000 0.000 0.000
Pt1 Pt 0.500 0.500 0.500
N1 N 0.000 0.000 0.500
# * E_tot: -4.627 eV per atom

***

# PBEsol RbInS2N, optimized geometry
data_RbInS2N
_symmetry_space_group_name_H-M 'P 4/m m m'
_symmetry_Int_Tables_number 123
_symmetry_space_group_name_Hall '-P 4 2'
_cell_length_a 5.816
_cell_length_b 5.816
_cell_length_c 5.177
_cell_angle_alpha 90.00
_cell_angle_beta 90.00
_cell_angle_gamma 90.00
loop_
_atom_site_label
_atom_site_type_symbol
_atom_site_fract_x
_atom_site_fract_y
_atom_site_fract_z
Rb1 Rb 0.000 0.000 0.000
In1 In 0.500 0.500 0.500
S1 S 0.000 0.500 0.000
N1 N 0.000 0.000 0.500
# * E_tot: -2.773 eV per atom

***

# PBEsol TaInRhN2, optimized geometry
data_TaInRhN2
_symmetry_space_group_name_H-M 'P 4/m m m'
_symmetry_Int_Tables_number 123
_symmetry_space_group_name_Hall '-P 4 2'
_cell_length_a 3.972
_cell_length_b 3.972
_cell_length_c 4.921
_cell_angle_alpha 90.00
_cell_angle_beta 90.00
_cell_angle_gamma 90.00
loop_
_atom_site_label
_atom_site_type_symbol
_atom_site_fract_x
_atom_site_fract_y
_atom_site_fract_z
Ta1 Ta 0.000 0.000 0.000
In1 In 0.500 0.500 0.500
Rh1 Rh 0.500 0.500 0.000
N1 N 0.000 0.500 0.500
# * E_tot: -6.274 eV per atom

***

# PBEsol InRuS2N, optimized geometry
data_InRuS2N
_symmetry_space_group_name_H-M 'P 4/m m m'
_symmetry_Int_Tables_number 123
_symmetry_space_group_name_Hall '-P 4 2'
_cell_length_a 4.814
_cell_length_b 4.814
_cell_length_c 3.626
_cell_angle_alpha 90.00
_cell_angle_beta 90.00
_cell_angle_gamma 90.00
loop_
_atom_site_label
_atom_site_type_symbol
_atom_site_fract_x
_atom_site_fract_y
_atom_site_fract_z
In1 In 0.000 0.000 0.000
Ru1 Ru 0.500 0.500 0.500
S1 S 0.000 0.500 0.500
N1 N 0.500 0.500 0.000
# * E_tot: -5.977 eV per atom

***

# PBEsol InS2N2, optimized geometry
data_InS2N2
_symmetry_space_group_name_H-M 'I 4/m m m'
_symmetry_Int_Tables_number 139
_symmetry_space_group_name_Hall '-I 4 2'
_cell_length_a 3.775
_cell_length_b 3.775
_cell_length_c 10.618
_cell_angle_alpha 90.00
_cell_angle_beta 90.00
_cell_angle_gamma 90.00
loop_
_atom_site_label
_atom_site_type_symbol
_atom_site_fract_x
_atom_site_fract_y
_atom_site_fract_z
In1 In 0.000 0.000 0.000
S1 S 0.000 0.000 0.307
N1 N 0.000 0.500 0.250
# * E_tot: -4.771 eV per atom